Entry from OQMD via LeMat-Bulk: an optimized crystal structure of Zr6Bi2P (PBE).

Output
Final energy (eV per atom): -7.81

CIF file:
```
data_Zr6Bi2P
_space_group_name_H-M_alt 'P -6 2 m'
_space_group_IT_number 189
_space_group_name_Hall 'P -6 -2'
_cell_length_a 7.7442
_cell_length_b 7.7442
_cell_length_c 3.8610
_cell_angle_alpha 90.00
_cell_angle_beta 90.00
_cell_angle_gamma 120.00
loop_
_atom_site_label
_atom_site_type_symbol
_atom_site_fract_x
_atom_site_fract_y
_atom_site_fract_z
Zr1 Zr 0.0000 0.2378 0.0000
Zr2 Zr 0.0000 0.6268 0.5000
Bi1 Bi 0.3333 0.6667 0.0000
P1 P 0.0000 0.0000 0.5000
```